Record 1
LiDyPu after structural relaxation. Source: the Alexandria database, functional GGA-PBE.

Computed properties:
DFT formation energy in eV per atom: 0.249
Space group: No. 107
Total magnetization in μB per atom: 2.00
Calculated total energy in eV per formula unit: -20.10

Cell lengths 7.668, 7.668, 7.668 Å; angles 155.10, 155.10, 35.50 degrees
Positions (direct):
Li 0.000 0.000 0.000
Dy 0.335 0.335 0.000
Pu 0.660 0.660 0.000

***

Record 2
Pr2Zn5Pt3 after structural relaxation. Source: the Alexandria database, functional GGA-PBE.

Computed properties:
DFT formation energy in eV per atom: -0.571
Space group: No. 115
Total magnetization in μB per atom: 0.00
Calculated total energy in eV per formula unit: -39.76

Cell lengths 4.046, 4.046, 11.940 Å; angles 90.00, 90.00, 90.00 degrees
Positions (direct):
Pr 0.000 0.500 0.240
Pr 0.500 0.000 0.760
Zn 0.000 0.000 0.500
Zn 0.000 0.500 0.635
Zn 0.500 0.000 0.365
Zn 0.500 0.500 0.000
Zn 0.500 0.500 0.500
Pt 0.000 0.000 0.000
Pt 0.000 0.500 0.848
Pt 0.500 0.000 0.152

***

Record 3
MoPtI3 after structural relaxation. Source: the Alexandria database, functional GGA-PBE.

Computed properties:
Space group: No. 221
Total magnetization in μB per atom: 0.00
Calculated total energy in eV per formula unit: -16.22

Cell lengths 5.373, 5.373, 5.373 Å; angles 90.00, 90.00, 90.00 degrees
Positions (direct):
Mo 0.000 0.000 0.000
Pt 0.500 0.500 0.500
I 0.000 0.000 0.500
I 0.000 0.500 0.000
I 0.500 0.000 0.000